1.
Material: Th3CdHg4
Method: DFT, PBE-GGA
State: relaxed Values from VASP.

```
&SYSTEM
  ibrav = 0, nat = 8, ntyp = 3
/
ATOMIC_SPECIES
Th 232.04 Th.upf
Cd 112.41 Cd.upf
Hg 200.59 Hg.upf
CELL_PARAMETERS angstrom
2.606 1.504 9.228
-2.606 1.504 9.228
0.000 -3.009 9.228
ATOMIC_POSITIONS crystal
Th 0.000 0.000 0.000
Th 0.243 0.243 0.243
Th 0.757 0.757 0.757
Cd 0.500 0.500 0.500
Hg 0.126 0.126 0.126
Hg 0.376 0.376 0.376
Hg 0.624 0.624 0.624
Hg 0.874 0.874 0.874
```

ΔE to the lowest computed polymorph: 0.0 kJ per mole of atoms
E_form: -0.192 eV per atom
space group: R-3m (166)



2.
Material: KCaTe
Method: DFT, PBE-GGA
State: relaxed Values from VASP.

```
&SYSTEM
  ibrav = 0, nat = 3, ntyp = 3
/
ATOMIC_SPECIES
K 39.10 K.upf
Ca 40.08 Ca.upf
Te 127.60 Te.upf
CELL_PARAMETERS angstrom
0.000 3.886 3.886
3.886 0.000 3.886
3.886 3.886 0.000
ATOMIC_POSITIONS crystal
K 0.000 0.000 0.000
Ca 0.500 0.500 0.500
Te 0.250 0.250 0.250
```

ΔE to the lowest computed polymorph: 12.2 kJ per mole of atoms
space group: F-43m (216)
ΔE_f (raw): -0.760 eV per atom



3.
Material: PmPr2PaS4
Method: DFT, PBE-GGA
State: relaxed Values from VASP.

```
&SYSTEM
  ibrav = 0, nat = 8, ntyp = 4
/
ATOMIC_SPECIES
Pm 145.00 Pm.upf
Pr 140.91 Pr.upf
Pa 231.04 Pa.upf
S 32.06 S.upf
CELL_PARAMETERS angstrom
6.980 0.000 0.000
0.000 4.015 0.000
-2.297 0.000 6.607
ATOMIC_POSITIONS crystal
Pm 0.000 0.000 0.000
Pr 0.000 0.500 0.500
Pr 0.500 0.000 0.500
Pa 0.500 0.500 0.000
S 0.253 0.500 0.239
S 0.259 0.000 0.763
S 0.741 0.000 0.237
S 0.747 0.500 0.761
```

space group: P2/m (10)
ΔE_f (raw): -1.896 eV per atom



4.
Material: CuTe2OsN
Method: DFT, PBE-GGA
State: relaxed Values from VASP.

```
&SYSTEM
  ibrav = 0, nat = 5, ntyp = 4
/
ATOMIC_SPECIES
Cu 63.55 Cu.upf
Te 127.60 Te.upf
Os 190.23 Os.upf
N 14.01 N.upf
CELL_PARAMETERS angstrom
5.180 0.000 0.000
0.000 5.180 0.000
0.000 0.000 3.403
ATOMIC_POSITIONS crystal
Cu 0.000 0.000 0.000
Te 0.000 0.500 0.000
Te 0.500 0.000 0.000
Os 0.500 0.500 0.500
N 0.000 0.000 0.500
```

ΔE to the lowest computed polymorph: 73.0 kJ per mole of atoms
space group: P4/mmm (123)
ΔE_f (raw): 1.303 eV per atom



5.
Material: ScSnW3
Method: DFT, PBE-GGA
State: relaxed Values from VASP.

```
&SYSTEM
  ibrav = 0, nat = 5, ntyp = 3
/
ATOMIC_SPECIES
Sc 44.96 Sc.upf
Sn 118.71 Sn.upf
W 183.84 W.upf
CELL_PARAMETERS angstrom
4.900 0.000 0.000
0.000 4.900 0.000
0.000 0.000 4.900
ATOMIC_POSITIONS crystal
Sc 0.000 0.000 0.000
Sn 0.500 0.500 0.500
W 0.000 0.500 0.500
W 0.500 0.000 0.500
W 0.500 0.500 0.000
```

ΔE to the lowest computed polymorph: 0.0 kJ per mole of atoms
E_form: 2.228 eV per atom
space group: Pm-3m (221)



6.
Material: Fe3Ag
Method: DFT, PBE-GGA
State: relaxed Values from VASP.

```
&SYSTEM
  ibrav = 0, nat = 4, ntyp = 2
/
ATOMIC_SPECIES
Fe 55.84 Fe.upf
Ag 107.87 Ag.upf
CELL_PARAMETERS angstrom
2.675 0.000 0.000
0.000 4.325 0.000
0.000 0.000 4.742
ATOMIC_POSITIONS crystal
Fe 0.000 0.000 0.000
Fe 0.000 0.500 0.295
Fe 0.500 0.500 0.853
Ag 0.500 0.000 0.502
```

E_form: 0.363 eV per atom
space group: Pmm2 (25)



7.
Material: Pm4Sn2Rh
Method: DFT, PBE-GGA
State: relaxed Values from VASP.

```
&SYSTEM
  ibrav = 0, nat = 7, ntyp = 3
/
ATOMIC_SPECIES
Pm 145.00 Pm.upf
Sn 118.71 Sn.upf
Rh 102.91 Rh.upf
CELL_PARAMETERS angstrom
5.789 -2.343 0.000
5.789 2.343 0.000
-4.722 0.000 7.475
ATOMIC_POSITIONS crystal
Pm 0.073 0.073 0.355
Pm 0.328 0.328 0.938
Pm 0.672 0.672 0.062
Pm 0.927 0.927 0.645
Sn 0.354 0.354 0.340
Sn 0.646 0.646 0.660
Rh 0.000 0.000 0.000
```

E_form: -0.671 eV per atom
space group: C2/m (12)



8.
Material: La8Te4Ir3Se
Method: DFT, PBE-GGA
State: relaxed Values from VASP.

```
&SYSTEM
  ibrav = 0, nat = 16, ntyp = 4
/
ATOMIC_SPECIES
La 138.91 La.upf
Te 127.60 Te.upf
Ir 192.22 Ir.upf
Se 78.96 Se.upf
CELL_PARAMETERS angstrom
4.344 2.508 7.585
-4.344 2.508 7.585
0.000 -5.016 7.585
ATOMIC_POSITIONS crystal
La 0.223 0.745 0.745
La 0.237 0.237 0.237
La 0.255 0.255 0.777
La 0.255 0.777 0.255
La 0.745 0.223 0.745
La 0.745 0.745 0.223
La 0.763 0.763 0.763
La 0.777 0.255 0.255
Te 0.000 0.000 0.000
Te 0.000 0.500 0.500
Te 0.500 0.000 0.500
Te 0.500 0.500 0.000
Ir 0.000 0.000 0.500
Ir 0.000 0.500 0.000
Ir 0.500 0.000 0.000
Se 0.500 0.500 0.500
```

space group: R-3m (166)
ΔE_f (raw): -1.324 eV per atom



9.
Material: LiTcAg2
Method: DFT, PBE-GGA
State: relaxed Values from VASP.

```
&SYSTEM
  ibrav = 0, nat = 8, ntyp = 3
/
ATOMIC_SPECIES
Li 6.94 Li.upf
Tc 98.00 Tc.upf
Ag 107.87 Ag.upf
CELL_PARAMETERS angstrom
-1.932 1.932 9.554
1.932 -1.932 9.554
1.932 1.932 -9.554
ATOMIC_POSITIONS crystal
Li 0.000 0.000 0.000
Li 0.750 0.250 0.500
Tc 0.250 0.750 0.500
Tc 0.500 0.500 0.000
Ag 0.118 0.625 0.993
Ag 0.375 0.368 0.493
Ag 0.632 0.125 0.007
Ag 0.875 0.882 0.507
```

ΔE to the lowest computed polymorph: 56.4 kJ per mole of atoms
E_form: 0.823 eV per atom
space group: I-42d (122)



10.
Material: InFe2Pb
Method: DFT, PBE-GGA
State: relaxed Values from VASP.

```
&SYSTEM
  ibrav = 0, nat = 4, ntyp = 3
/
ATOMIC_SPECIES
In 114.82 In.upf
Fe 55.84 Fe.upf
Pb 207.20 Pb.upf
CELL_PARAMETERS angstrom
0.000 3.183 3.183
3.183 0.000 3.183
3.183 3.183 0.000
ATOMIC_POSITIONS crystal
In 0.000 0.000 0.000
Fe 0.250 0.250 0.250
Fe 0.750 0.750 0.750
Pb 0.500 0.500 0.500
```

ΔE to the lowest computed polymorph: 36.2 kJ per mole of atoms
E_form: 0.656 eV per atom
space group: Fm-3m (225)



11.
Material: ZrInSeS
Method: DFT, PBE-GGA
State: relaxed Values from VASP.

```
&SYSTEM
  ibrav = 0, nat = 4, ntyp = 4
/
ATOMIC_SPECIES
Zr 91.22 Zr.upf
In 114.82 In.upf
Se 78.96 Se.upf
S 32.06 S.upf
CELL_PARAMETERS angstrom
3.172 -1.832 0.000
3.172 1.832 0.000
-2.107 0.000 8.412
ATOMIC_POSITIONS crystal
Zr 0.000 0.000 0.000
In 0.843 0.843 0.525
Se 0.401 0.401 0.203
S 0.607 0.607 0.820
```

space group: Cm (8)
ΔE_f (raw): -1.036 eV per atom



12.
Material: SbC2I
Method: DFT, PBE-GGA
State: relaxed Values from VASP.

```
&SYSTEM
  ibrav = 0, nat = 4, ntyp = 3
/
ATOMIC_SPECIES
Sb 121.76 Sb.upf
C 12.01 C.upf
I 126.90 I.upf
CELL_PARAMETERS angstrom
0.000 3.200 3.200
3.200 0.000 3.200
3.200 3.200 0.000
ATOMIC_POSITIONS crystal
Sb 0.000 0.000 0.000
C 0.250 0.250 0.250
C 0.750 0.750 0.750
I 0.500 0.500 0.500
```

ΔE to the lowest computed polymorph: 71.3 kJ per mole of atoms
space group: Fm-3m (225)
ΔE_f (raw): 2.716 eV per atom



13.
Material: KY2Mg
Method: DFT, PBE-GGA
State: relaxed Values from VASP.

```
&SYSTEM
  ibrav = 0, nat = 4, ntyp = 3
/
ATOMIC_SPECIES
K 39.10 K.upf
Y 88.91 Y.upf
Mg 24.30 Mg.upf
CELL_PARAMETERS angstrom
5.869 -1.718 0.000
5.869 1.718 0.000
-0.772 0.000 7.405
ATOMIC_POSITIONS crystal
K 0.000 0.000 0.000
Y 0.505 0.505 0.508
Y 0.765 0.765 0.334
Mg 0.247 0.247 0.704
```

E_form: 0.358 eV per atom
space group: Cm (8)



14.
Material: LiNiSeBr2
Method: DFT, PBE-GGA
State: relaxed Values from VASP.

```
&SYSTEM
  ibrav = 0, nat = 5, ntyp = 4
/
ATOMIC_SPECIES
Li 6.94 Li.upf
Ni 58.69 Ni.upf
Se 78.96 Se.upf
Br 79.90 Br.upf
CELL_PARAMETERS angstrom
4.893 0.000 0.000
0.000 4.893 0.000
0.000 0.000 4.822
ATOMIC_POSITIONS crystal
Li 0.000 0.000 0.000
Ni 0.500 0.500 0.500
Se 0.000 0.000 0.500
Br 0.000 0.500 0.000
Br 0.500 0.000 0.000
```

ΔE to the lowest computed polymorph: 65.6 kJ per mole of atoms
space group: P4/mmm (123)
ΔE_f (raw): 0.360 eV per atom



15.
Material: Sr2MgZn3Au12
Method: DFT, PBE-GGA
State: relaxed Values from VASP.

```
&SYSTEM
  ibrav = 0, nat = 18, ntyp = 4
/
ATOMIC_SPECIES
Sr 87.62 Sr.upf
Mg 24.30 Mg.upf
Zn 65.41 Zn.upf
Au 196.97 Au.upf
CELL_PARAMETERS angstrom
4.402 2.541 6.648
-4.402 2.541 6.648
0.000 -5.083 6.648
ATOMIC_POSITIONS crystal
Sr 0.106 0.106 0.106
Sr 0.894 0.894 0.894
Mg 0.500 0.500 0.500
Zn 0.000 0.500 0.500
Zn 0.500 0.000 0.500
Zn 0.500 0.500 0.000
Au 0.137 0.632 0.632
Au 0.143 0.143 0.536
Au 0.143 0.536 0.143
Au 0.368 0.368 0.863
Au 0.368 0.863 0.368
Au 0.464 0.857 0.857
Au 0.536 0.143 0.143
Au 0.632 0.137 0.632
Au 0.632 0.632 0.137
Au 0.857 0.464 0.857
Au 0.857 0.857 0.464
Au 0.863 0.368 0.368
```

E_form: -0.172 eV per atom
space group: R-3m (166)



16.
Material: Ho2ErPb
Method: DFT, PBE-GGA
State: relaxed Values from VASP.

```
&SYSTEM
  ibrav = 0, nat = 8, ntyp = 3
/
ATOMIC_SPECIES
Ho 164.93 Ho.upf
Er 167.26 Er.upf
Pb 207.20 Pb.upf
CELL_PARAMETERS angstrom
1.706 -13.150 0.000
1.706 13.150 0.000
0.000 0.000 5.597
ATOMIC_POSITIONS crystal
Ho 0.094 0.906 0.750
Ho 0.182 0.818 0.250
Ho 0.818 0.182 0.750
Ho 0.906 0.094 0.250
Er 0.030 0.970 0.250
Er 0.970 0.030 0.750
Pb 0.301 0.699 0.250
Pb 0.699 0.301 0.750
```

ΔE to the lowest computed polymorph: 34.9 kJ per mole of atoms
E_form: 0.100 eV per atom
space group: Cmcm (63)